CsTcBi3 | PBE-GGA | relaxed

Output
The electronic total energy is -4.2276 eV per atom. Its formation energy is 0.345 eV/atom. The total magnetic moment is 1.3 μB/cell. The volume is 171.6 Å³/cell.

Geometry as CIF:
```
data_CsTcBi3
_cell_length_a 5.556
_cell_length_b 5.556
_cell_length_c 5.556
_cell_angle_alpha 90.00
_cell_angle_beta 90.00
_cell_angle_gamma 90.00
_space_group_name_H-M_alt 'P m -3 m'
_space_group_IT_number 221
_space_group_name_Hall '-P 4 2 3'
loop_
_atom_site_label
_atom_site_fract_x
_atom_site_fract_y
_atom_site_fract_z
_atom_site_occupancy
Cs1 0.000 0.000 0.000 1
Tc1 0.500 0.500 0.500 1
Bi1 0.000 0.500 0.500 1
```